# Th8Co3Bi2, optimized geometry, DFT PBE-GGA
data_Th8Co3Bi2
_chemical_formula_sum 'Th16 Co6 Bi4'
_space_group_name_H-M_alt 'C 1 2/m 1'
_space_group_IT_number 12
_cell_length_a 16.166
_cell_length_b 7.710
_cell_length_c 7.078
_cell_angle_alpha 90.00
_cell_angle_beta 105.70
_cell_angle_gamma 90.00
loop_
_space_group_symop_operation_xyz
'x,y,z'
'-x,-y,-z'
'-x,y,-z'
'x,-y,z'
'x+1/2,y+1/2,z'
'-x+1/2,-y+1/2,-z'
'-x+1/2,y+1/2,-z'
'x+1/2,-y+1/2,z'
loop_
_atom_site_label
_atom_site_type_symbol
_atom_site_fract_x
_atom_site_fract_y
_atom_site_fract_z
Th1 Th 0.088 0.000 0.381
Th2 Th 0.096 0.258 0.896
Th3 Th 0.102 0.500 0.432
Co1 Co 0.000 0.000 0.000
Co2 Co 0.000 0.254 0.500
Bi1 Bi 0.247 0.000 0.809
# Energy relative to the elements = -176 kJ/mol of formula units
# Energy = -6.94 eV per atom